First-principles (GGA-PBE) data for crystalline La3Pm2Ag2 at its relaxed geometry, as listed in Alexandria.

## Properties
**Formation enthalpy at 0 K**: -0.112 eV per atom
**Total magnetic moment**: 0.00 μB/atom
**VASP energy**: -4.396 eV per atom
**Energy above the lowest structure with this stoichiometry**: 0.000 eV/atom
**Crystal system**: monoclinic

Unit cell a=3.9203 b=6.8377 c=9.5964 alpha=113.93 beta=90.00 gamma=106.66
With the nearest neighbours (Å) after each atom.
Sites, in units of the cell vectors:
La1 0.6077 0.2153 0.4457  3 Ag 3.23-3.25, 1 La 3.40
La2 0.3923 0.7847 0.5543  3 Ag 3.23-3.25, 1 La 3.40
La3 0.5000 0.0000 0.0000  4 Ag 3.08
Ag1 0.1713 0.3426 0.2271  5 La 3.08-3.25, 2 Pm 3.18
Ag2 0.8287 0.6574 0.7729  5 La 3.08-3.25, 2 Pm 3.18
Pm1 0.8456 0.6912 0.1808  2 Ag 3.18
Pm2 0.1544 0.3088 0.8192  2 Ag 3.18